(1)
A relaxed CaSnC3 crystal, computed with PBE-GGA.

## Properties
**Formation enthalpy at 0 K**: 2986 meV/atom
**Volume**: 18.164 A^3/atom
**Distance to the lowest polymorph of the same formula**: 430 kJ/mol of formula units

Geometry as extended XYZ:
```
5
Lattice="4.4950 0.0000 0.0000 0.0000 4.4950 0.0000 0.0000 0.0000 4.4950" Properties=species:S:1:pos:R:3 pbc="T T T"
Ca 0.0000 0.0000 0.0000
Sn 2.2475 2.2475 2.2475
C 0.0000 0.0000 2.2475
C 0.0000 2.2475 0.0000
C 2.2475 0.0000 0.0000
```

---

(2)
A relaxed CaSnC2 crystal, computed with PBE-GGA.

## Properties
**Formation enthalpy at 0 K**: 1093 meV/atom
**Volume**: 16.762 A^3/atom

Geometry as extended XYZ:
```
8
Lattice="-3.1276 3.1276 3.4272 3.1276 -3.1276 3.4272 3.1276 3.1276 -3.4272" Properties=species:S:1:pos:R:3 pbc="T T T"
Ca 0.0000 0.0000 0.0000
Ca 0.0000 3.1276 1.7136
Sn 3.1276 0.0000 1.7136
Sn 0.0000 0.0000 3.4272
C 1.5638 -1.2835 2.5704
C 1.8441 1.5638 0.8568
C 1.5638 4.4111 -0.8568
C 1.2835 1.5638 4.2840
```

---

(3)
A relaxed CaTcSn2C crystal, computed with PBE-GGA.

## Properties
**Formation enthalpy at 0 K**: 1270 meV/atom
**Volume**: 28.605 A^3/atom

Geometry as extended XYZ:
```
5
Lattice="5.0987 0.0000 0.0000 0.0000 5.0987 0.0000 0.0000 0.0000 5.5017" Properties=species:S:1:pos:R:3 pbc="T T T"
Ca 0.0000 0.0000 0.0000
Tc 0.0000 0.0000 2.7508
Sn 0.0000 2.5493 2.7508
Sn 2.5493 0.0000 2.7508
C 2.5493 2.5493 0.0000
```

---

(4)
A relaxed CaY2SnC crystal, computed with PBE-GGA.

## Properties
**Formation enthalpy at 0 K**: -555 meV/atom
**Volume**: 23.980 A^3/atom

Geometry as extended XYZ:
```
5
Lattice="4.9201 0.0000 0.0000 0.0000 4.9201 0.0000 0.0000 0.0000 4.9530" Properties=species:S:1:pos:R:3 pbc="T T T"
Ca 0.0000 0.0000 0.0000
Y 0.0000 2.4601 2.4765
Y 2.4601 0.0000 2.4765
Sn 2.4601 2.4601 0.0000
C 0.0000 0.0000 2.4765
```

---

(5)
A relaxed SrCaC2 crystal, computed with PBE-GGA.

## Properties
**Formation enthalpy at 0 K**: 1410 meV/atom
**Volume**: 22.582 A^3/atom
**Distance to the lowest polymorph of the same formula**: 68 kJ/mol of formula units

Geometry as extended XYZ:
```
8
Lattice="-3.3755 3.3755 3.9638 3.3755 -3.3755 3.9638 3.3755 3.3755 -3.9638" Properties=species:S:1:pos:R:3 pbc="T T T"
Sr 0.0000 0.0000 0.0000
Sr 0.0000 3.3755 1.9819
Ca 3.3755 0.0000 1.9819
Ca 0.0000 0.0000 3.9638
C 1.6878 -1.5557 2.9729
C 1.8198 1.6878 0.9910
C 1.6878 4.9313 -0.9910
C 1.5557 1.6878 4.9548
```

---

(6)
A relaxed SrCa2C crystal, computed with PBE-GGA.

## Properties
**Formation enthalpy at 0 K**: 507 meV/atom
**Volume**: 39.836 A^3/atom

Geometry as extended XYZ:
```
8
Lattice="-3.8312 3.8312 5.4278 3.8312 -3.8312 5.4278 3.8312 3.8312 -5.4278" Properties=species:S:1:pos:R:3 pbc="T T T"
Sr 0.0000 0.0000 0.0000
Sr 0.0000 3.8312 2.7139
Ca 1.9156 3.7995 -1.3570
Ca 3.8630 1.9156 1.3570
Ca 1.9156 0.0318 4.0709
Ca -0.0318 1.9156 6.7848
C 3.8312 0.0000 2.7139
C 0.0000 0.0000 5.4278
```

---

(7)
A relaxed SrCaC2 crystal, computed with PBE-GGA.

## Properties
**Formation enthalpy at 0 K**: 1233 meV/atom
**Volume**: 17.068 A^3/atom
**Distance to the lowest polymorph of the same formula**: 0 kJ/mol of formula units

Geometry as extended XYZ:
```
4
Lattice="0.0000 3.2440 3.2440 3.2440 0.0000 3.2440 3.2440 3.2440 0.0000" Properties=species:S:1:pos:R:3 pbc="T T T"
Sr 0.0000 0.0000 0.0000
Ca 3.2440 3.2440 3.2440
C 1.6220 1.6220 1.6220
C 4.8659 4.8659 4.8659
```

---

(8)
A relaxed Sr2CaC crystal, computed with PBE-GGA.

## Properties
**Formation enthalpy at 0 K**: 502 meV/atom
**Volume**: 34.817 A^3/atom

Geometry as extended XYZ:
```
8
Lattice="-5.2557 5.2557 2.5209 5.2557 -5.2557 2.5209 5.2557 5.2557 -2.5209" Properties=species:S:1:pos:R:3 pbc="T T T"
Sr 0.8298 2.6279 0.6302
Sr -2.6279 4.4259 1.8907
Sr -0.8298 7.8836 0.6302
Sr 2.6279 6.0855 1.8907
Ca 5.2557 0.0000 1.2605
Ca 0.0000 0.0000 2.5209
C 0.0000 0.0000 0.0000
C 0.0000 5.2557 1.2605
```

---

(9)
A relaxed SrCa2TeC crystal, computed with PBE-GGA.

## Properties
**Volume**: 27.461 A^3/atom
**Formation energy without anion corrections**: -481 meV/atom

Geometry as extended XYZ:
```
5
Lattice="5.0383 0.0000 0.0000 0.0000 5.0383 0.0000 0.0000 0.0000 5.4091" Properties=species:S:1:pos:R:3 pbc="T T T"
Sr 0.0000 0.0000 0.0000
Ca 0.0000 2.5191 2.7045
Ca 2.5191 0.0000 2.7045
Te 2.5191 2.5191 0.0000
C 0.0000 0.0000 2.7045
```

---

(10)
A relaxed SrCa2TiC crystal, computed with PBE-GGA.

## Properties
**Formation enthalpy at 0 K**: 771 meV/atom
**Volume**: 28.306 A^3/atom

Geometry as extended XYZ:
```
5
Lattice="5.1072 0.0000 0.0000 0.0000 5.1072 0.0000 0.0000 0.0000 5.4261" Properties=species:S:1:pos:R:3 pbc="T T T"
Sr 0.0000 0.0000 0.0000
Ca 0.0000 2.5536 2.7130
Ca 2.5536 0.0000 2.7130
Ti 2.5536 2.5536 0.0000
C 0.0000 0.0000 2.7130
```

---

(11)
A relaxed SrCaZn2C crystal, computed with PBE-GGA.

## Properties
**Formation enthalpy at 0 K**: 1794 meV/atom
**Volume**: 44.880 A^3/atom

Geometry as extended XYZ:
```
5
Lattice="5.5132 0.0000 0.0000 0.0000 5.5132 0.0000 0.0000 0.0000 7.3829" Properties=species:S:1:pos:R:3 pbc="T T T"
Sr 0.0000 0.0000 0.0000
Ca 0.0000 0.0000 3.6914
Zn 0.0000 2.7566 3.6914
Zn 2.7566 0.0000 3.6914
C 2.7566 2.7566 0.0000
```

---

(12)
A relaxed CaTa4C2 crystal, computed with PBE-GGA.

## Properties
**Formation enthalpy at 0 K**: 1723 meV/atom
**Volume**: 17.272 A^3/atom

Geometry as extended XYZ:
```
7
Lattice="-2.3511 2.3511 5.4683 2.3511 -2.3511 5.4683 2.3511 2.3511 -5.4683" Properties=species:S:1:pos:R:3 pbc="T T T"
Ca 0.0000 0.0000 0.0000
Ta 2.3511 0.0000 0.0000
Ta 0.0000 0.0000 2.8523
Ta 0.0000 2.3511 0.0000
Ta 0.0000 0.0000 8.0843
C 0.0000 0.0000 4.7849
C 0.0000 0.0000 6.1517
```